1.
Density functional theory data (PBE) for a relaxed structure of PmGa8Pd4.

Cell and atoms, written as CIF:
```
data_PmGa8Pd4
_chemical_formula_sum 'Pm2 Ga16 Pd8'
_cell_length_a 8.902
_cell_length_b 8.902
_cell_length_c 5.571
_cell_angle_alpha 90.00
_cell_angle_beta 90.00
_cell_angle_gamma 90.00
_symmetry_space_group_name_H-M 'I 4/m m m'
_symmetry_Int_Tables_number 139
_symmetry_space_group_name_Hall '-I 4 2'
loop_
_atom_site_label
_atom_site_type_symbol
_atom_site_fract_x
_atom_site_fract_y
_atom_site_fract_z
_atom_site_occupancy
Pm1 Pm 0.000 0.000 0.000 1
Ga1 Ga 0.000 0.218 0.500 1
Ga2 Ga 0.000 0.349 0.000 1
Pd1 Pd 0.250 0.250 0.250 1
```

Calculated values
VASP energy, eV/atom: -4.382
Total moment, μB per atom: 0.00


2.
Density functional theory data (PBE) for a relaxed structure of MnCdRe2S.

Cell and atoms, written as CIF:
```
data_MnCdRe2S
_chemical_formula_sum 'Mn1 Cd1 Re2 S1'
_cell_length_a 4.631
_cell_length_b 4.631
_cell_length_c 4.103
_cell_angle_alpha 90.00
_cell_angle_beta 90.00
_cell_angle_gamma 90.00
_symmetry_space_group_name_H-M 'P 4/m m m'
_symmetry_Int_Tables_number 123
_symmetry_space_group_name_Hall '-P 4 2'
loop_
_atom_site_label
_atom_site_type_symbol
_atom_site_fract_x
_atom_site_fract_y
_atom_site_fract_z
_atom_site_occupancy
Mn1 Mn 0.000 0.000 0.000 1
Cd1 Cd 0.500 0.500 0.500 1
Re1 Re 0.000 0.500 0.000 1
S1 S 0.000 0.000 0.500 1
```

Calculated values
Total moment, μB per atom: 0.21
Formation energy from raw total energies, eV/atom: 1.3425


3.
Density functional theory data (PBE) for a relaxed structure of TbTm2.

Cell and atoms, written as CIF:
```
data_TbTm2
_chemical_formula_sum 'Tb2 Tm4'
_cell_length_a 3.500
_cell_length_b 3.500
_cell_length_c 14.927
_cell_angle_alpha 90.00
_cell_angle_beta 90.00
_cell_angle_gamma 90.00
_symmetry_space_group_name_H-M 'I 4/m m m'
_symmetry_Int_Tables_number 139
_symmetry_space_group_name_Hall '-I 4 2'
loop_
_atom_site_label
_atom_site_type_symbol
_atom_site_fract_x
_atom_site_fract_y
_atom_site_fract_z
_atom_site_occupancy
Tb1 Tb 0.000 0.000 0.000 1
Tm1 Tm 0.000 0.000 0.333 1
```

Calculated values
VASP energy, eV/atom: -4.500
Total moment, μB per atom: 0.00